1.
Here is an optimized crystal structure of KPtPb2 from Alexandria. Energies are from GGA-PBE.

- Formation energy: -0.238 eV/atom
- E_tot: -0.142 hartree per atom
- Spin magnetization: 0.00 μB/atom

The structure in CIF format:
```
data_KPtPb2
_symmetry_space_group_name_H-M 'P n m a'
_symmetry_Int_Tables_number 62
_cell_length_a 17.076
_cell_length_b 8.216
_cell_length_c 6.516
_cell_angle_alpha 90.00
_cell_angle_beta 90.00
_cell_angle_gamma 90.00
loop_
_symmetry_equiv_pos_as_xyz
'x,y,z'
'-x,-y,-z'
'-x+1/2,-y,z+1/2'
'x+1/2,y,-z+1/2'
'x+1/2,-y+1/2,-z+1/2'
'-x+1/2,y+1/2,z+1/2'
'-x,y+1/2,-z'
'x,-y+1/2,z'
loop_
_atom_site_label
_atom_site_type_symbol
_atom_site_fract_x
_atom_site_fract_y
_atom_site_fract_z
K1 K 0.106 0.250 0.209
K2 K 0.136 0.750 0.015
Pt1 Pt 0.075 0.750 0.502
Pt2 Pt 0.178 0.250 0.717
Pb1 Pb 0.039 0.050 0.722
Pb2 Pb 0.215 0.551 0.505
```


2.
Here is an optimized crystal structure of KPt2Pb4 from Alexandria. Energies are from GGA-PBE.

- Formation energy: -0.117 eV/atom
- E_tot: -0.151 hartree per atom
- Spin magnetization: 0.00 μB/atom

The structure in CIF format:
```
data_KPt2Pb4
_symmetry_space_group_name_H-M 'C m m m'
_symmetry_Int_Tables_number 65
_symmetry_space_group_name_Hall '-C 2 2'
_cell_length_a 5.297
_cell_length_b 13.969
_cell_length_c 5.244
_cell_angle_alpha 90.00
_cell_angle_beta 90.00
_cell_angle_gamma 90.00
loop_
_atom_site_label
_atom_site_type_symbol
_atom_site_fract_x
_atom_site_fract_y
_atom_site_fract_z
K1 K 0.000 0.000 0.000
Pt1 Pt 0.000 0.405 0.500
Pb1 Pb 0.000 0.174 0.500
Pb2 Pb 0.000 0.328 0.000
```


3.
Here is an optimized crystal structure of K2Pt3Pb9 from Alexandria. Energies are from GGA-PBE.

- Formation energy: -0.139 eV/atom
- E_tot: -0.146 hartree per atom
- Spin magnetization: 0.00 μB/atom

The structure in CIF format:
```
data_K2Pt3Pb9
_symmetry_space_group_name_H-M 'C 1 2/c 1'
_symmetry_Int_Tables_number 15
_cell_length_a 15.106
_cell_length_b 8.622
_cell_length_c 12.960
_cell_angle_alpha 90.00
_cell_angle_beta 112.97
_cell_angle_gamma 90.00
loop_
_symmetry_equiv_pos_as_xyz
'x,y,z'
'-x,-y,-z'
'-x,y,-z+1/2'
'x,-y,z+1/2'
'x+1/2,y+1/2,z'
'-x+1/2,-y+1/2,-z'
'-x+1/2,y+1/2,-z+1/2'
'x+1/2,-y+1/2,z+1/2'
loop_
_atom_site_label
_atom_site_type_symbol
_atom_site_fract_x
_atom_site_fract_y
_atom_site_fract_z
K1 K 0.173 0.080 0.251
Pt1 Pt 0.084 0.262 0.508
Pt2 Pt 0.250 0.250 0.000
Pb1 Pb 0.000 0.357 0.250
Pb2 Pb 0.058 0.067 0.923
Pb3 Pb 0.107 0.405 0.065
Pb4 Pb 0.108 0.311 0.749
Pb5 Pb 0.228 0.413 0.428
```


4.
Here is an optimized crystal structure of KPtPb3 from Alexandria. Energies are from GGA-PBE.

- Formation energy: 1.455 eV/atom
- E_tot: -0.081 hartree per atom
- Spin magnetization: 0.00 μB/atom

The structure in CIF format:
```
data_KPtPb3
_symmetry_space_group_name_H-M 'P m -3 m'
_symmetry_Int_Tables_number 221
_symmetry_space_group_name_Hall '-P 4 2 3'
_cell_length_a 5.757
_cell_length_b 5.757
_cell_length_c 5.757
_cell_angle_alpha 90.00
_cell_angle_beta 90.00
_cell_angle_gamma 90.00
loop_
_atom_site_label
_atom_site_type_symbol
_atom_site_fract_x
_atom_site_fract_y
_atom_site_fract_z
K1 K 0.000 0.000 0.000
Pt1 Pt 0.500 0.500 0.500
Pb1 Pb 0.000 0.000 0.500
```


5.
Here is an optimized crystal structure of KPt2Pb from Alexandria. Energies are from GGA-PBE.

- Formation energy: 0.012 eV/atom
- E_tot: -0.155 hartree per atom
- Spin magnetization: 0.00 μB/atom

The structure in CIF format:
```
data_KPt2Pb
_symmetry_space_group_name_H-M 'I m m 2'
_symmetry_Int_Tables_number 44
_cell_length_a 2.964
_cell_length_b 5.436
_cell_length_c 11.296
_cell_angle_alpha 90.00
_cell_angle_beta 90.00
_cell_angle_gamma 90.00
loop_
_symmetry_equiv_pos_as_xyz
'x,y,z'
'-x,-y,z'
'-x,y,z'
'x,-y,z'
'x+1/2,y+1/2,z+1/2'
'-x+1/2,-y+1/2,z+1/2'
'-x+1/2,y+1/2,z+1/2'
'x+1/2,-y+1/2,z+1/2'
loop_
_atom_site_label
_atom_site_type_symbol
_atom_site_fract_x
_atom_site_fract_y
_atom_site_fract_z
K1 K 0.000 0.000 0.000
Pt1 Pt 0.000 0.000 0.512
Pt2 Pt 0.000 0.500 0.215
Pb1 Pb 0.000 0.500 0.793
```


6.
Here is an optimized crystal structure of KPtPb2 from Alexandria. Energies are from GGA-PBE.

- Formation energy: -0.123 eV/atom
- E_tot: -0.138 hartree per atom
- Spin magnetization: 0.00 μB/atom

The structure in CIF format:
```
data_KPtPb2
_symmetry_space_group_name_H-M 'I -4 2 d'
_symmetry_Int_Tables_number 122
_symmetry_space_group_name_Hall 'I -4 2bw'
_cell_length_a 8.738
_cell_length_b 8.738
_cell_length_c 6.393
_cell_angle_alpha 90.00
_cell_angle_beta 90.00
_cell_angle_gamma 90.00
loop_
_atom_site_label
_atom_site_type_symbol
_atom_site_fract_x
_atom_site_fract_y
_atom_site_fract_z
K1 K 0.000 0.000 0.000
Pt1 Pt 0.000 0.000 0.500
Pb1 Pb 0.176 0.750 0.625
```


7.
Here is an optimized crystal structure of KPtPb2 from Alexandria. Energies are from GGA-PBE.

- Formation energy: 0.028 eV/atom
- E_tot: -0.133 hartree per atom
- Spin magnetization: 0.00 μB/atom

The structure in CIF format:
```
data_KPtPb2
_symmetry_space_group_name_H-M 'F m -3 m'
_symmetry_Int_Tables_number 225
_symmetry_space_group_name_Hall '-F 4 2 3'
_cell_length_a 7.365
_cell_length_b 7.365
_cell_length_c 7.365
_cell_angle_alpha 90.00
_cell_angle_beta 90.00
_cell_angle_gamma 90.00
loop_
_atom_site_label
_atom_site_type_symbol
_atom_site_fract_x
_atom_site_fract_y
_atom_site_fract_z
K1 K 0.000 0.000 0.000
Pt1 Pt 0.000 0.000 0.500
Pb1 Pb 0.250 0.250 0.250
```


8.
Here is an optimized crystal structure of K3Pt2Pb5 from Alexandria. Energies are from GGA-PBE.

- Formation energy: -0.163 eV/atom
- E_tot: -0.131 hartree per atom
- Spin magnetization: 0.00 μB/atom

The structure in CIF format:
```
data_K3Pt2Pb5
_symmetry_space_group_name_H-M 'I b a m'
_symmetry_Int_Tables_number 72
_symmetry_space_group_name_Hall '-I 2 2c'
_cell_length_a 12.138
_cell_length_b 14.807
_cell_length_c 7.434
_cell_angle_alpha 90.00
_cell_angle_beta 90.00
_cell_angle_gamma 90.00
loop_
_atom_site_label
_atom_site_type_symbol
_atom_site_fract_x
_atom_site_fract_y
_atom_site_fract_z
K1 K 0.000 0.000 0.250
K2 K 0.248 0.364 0.000
Pt1 Pt 0.119 0.160 0.000
Pb1 Pb 0.000 0.255 0.250
Pb2 Pb 0.000 0.500 0.250
Pb3 Pb 0.164 0.378 0.500
```